# 1
! Tl2VCo, optimized geometry, DFT GGA-PBE; values from VASP
&SYSTEM
  ibrav = 0, nat = 8, ntyp = 3
/
ATOMIC_SPECIES
Tl 204.38 Tl.upf
V 50.94 V.upf
Co 58.93 Co.upf
CELL_PARAMETERS angstrom
-7.3754 0.8381 0.3296
-0.8788 -6.1037 -4.1449
-4.2056 -4.2904 0.5499
ATOMIC_POSITIONS angstrom
Tl -2.3312 -4.8044 -2.4205
V -4.1271 -2.6328 -1.9077
Tl -5.9623 -1.2900 -0.1661
Co 0.0000 0.0000 0.0000
Tl -6.2268 -5.0340 -0.9108
Co -7.8541 -3.0426 -0.5141
Tl -10.3995 -7.9836 -3.0336
V -4.6058 -6.5135 -2.7514
! Final energy = -0.322 Ry/atom
! Volume = 20.464 A^3/atom
! Space group = No. 122
! Formation energy = 0.8547 eV/atom
! Total magnetization = 3.86 μB/f.u.


# 2
! MgRe2Ag, optimized geometry, DFT GGA-PBE; values from VASP
&SYSTEM
  ibrav = 0, nat = 4, ntyp = 3
/
ATOMIC_SPECIES
Re 186.21 Re.upf
Mg 24.30 Mg.upf
Ag 107.87 Ag.upf
CELL_PARAMETERS angstrom
4.7982 0.0000 0.0000
0.0000 2.6964 -0.0179
0.0000 0.8602 4.9954
ATOMIC_POSITIONS angstrom
Re 0.0000 0.9845 4.9427
Re 0.0000 1.6539 2.5414
Mg 2.3991 2.6674 3.7331
Ag 2.3991 0.8891 1.2444
! Final energy = -0.507 Ry/atom
! Volume = 16.176 A^3/atom
! Space group = No. 10
! Formation energy = 0.4346 eV/atom
! Total magnetization = 0.00 μB/f.u.


# 3
! CdP2S2, optimized geometry, DFT GGA-PBE; values from VASP
&SYSTEM
  ibrav = 0, nat = 5, ntyp = 3
/
ATOMIC_SPECIES
S 32.06 S.upf
P 30.97 P.upf
Cd 112.41 Cd.upf
CELL_PARAMETERS angstrom
4.5968 0.0000 0.0000
0.0000 4.5968 0.0000
0.0000 0.0000 4.6193
ATOMIC_POSITIONS angstrom
S 0.0000 0.0000 0.0000
P 2.2984 0.0000 0.0000
S 0.0000 0.0000 2.3096
Cd 2.2984 2.2984 2.3096
P 0.0000 2.2984 0.0000
! Final energy = -0.237 Ry/atom
! Volume = 19.522 A^3/atom
! Space group = No. 123
! Total magnetization = 0.29 μB/f.u.
! Polymorph energy (0 for the lowest one) = 281 meV per atom


# 4
! Ac3In2Ge2Ir4, optimized geometry, DFT GGA-PBE; values from VASP
&SYSTEM
  ibrav = 0, nat = 11, ntyp = 4
/
ATOMIC_SPECIES
Ac 227.00 Ac.upf
Ir 192.22 Ir.upf
In 114.82 In.upf
Ge 72.64 Ge.upf
CELL_PARAMETERS angstrom
4.4096 0.0000 0.0000
-2.2048 3.8188 0.0000
0.0000 0.0000 16.0685
ATOMIC_POSITIONS angstrom
Ac 0.0000 0.0000 11.6712
Ir 2.2048 1.2729 9.8835
In 2.2048 1.2729 7.0695
Ir 2.2048 1.2729 2.1833
Ir 0.0000 2.5459 6.1850
Ir 0.0000 2.5459 13.8852
Ac 0.0000 0.0000 4.3973
Ge 0.0000 2.5459 2.1864
In 0.0000 2.5459 8.9990
Ge 2.2048 1.2729 13.8821
Ac 0.0000 0.0000 0.0000
! Final energy = -0.457 Ry/atom
! Volume = 24.598 A^3/atom
! Space group = No. 164
! Formation energy = -0.5343 eV/atom
! Total magnetization = 0.00 μB/f.u.